[1]
{
  "formula": "Ta5Re7",
  "functional": "PBE",
  "state": "relaxed",
  "relative_energy_ev_per_fu": 0.00,
  "rho_g_cm3": 18.24,
  "m_tot_mub_per_fu": 0.00,
  "formation_enthalpy_0k_ev_per_atom": 0.15,
  "cell": [[-5.0074, -1.5281, 0.0661], [3.8215, -3.5266, 0.6107], [-0.4994, 2.3618, 16.7649]],
  "species": ["Re", "Re", "Re", "Re", "Re", "Re", "Re", "Re", "Re", "Re", "Re", "Re", "Re", "Re", "Ta", "Ta", "Ta", "Ta", "Ta", "Ta", "Ta", "Ta", "Ta", "Ta"],
  "frac_coords": [[0.3333, 0.6667, 0.1297], [0.6667, 0.3333, 0.1594], [0.1609, 0.3219, 0.2500], [0.1609, 0.8391, 0.2500], [0.6781, 0.8391, 0.2500], [0.6667, 0.3333, 0.3406], [0.3333, 0.6667, 0.3703], [0.6667, 0.3333, 0.6297], [0.3333, 0.6667, 0.6594], [0.3219, 0.1609, 0.7500], [0.8391, 0.1609, 0.7500], [0.8391, 0.6781, 0.7500], [0.3333, 0.6667, 0.8406], [0.6667, 0.3333, 0.8703], [0.5000, 0.0000, 0.0000], [0.0000, 0.5000, 0.0000], [0.5000, 0.5000, 0.0000], [0.0000, 0.0000, 0.1014], [0.0000, 0.0000, 0.3986], [0.5000, 0.0000, 0.5000], [0.0000, 0.5000, 0.5000], [0.5000, 0.5000, 0.5000], [0.0000, 0.0000, 0.6014], [0.0000, 0.0000, 0.8986]]
}

=====

[2]
{
  "formula": "Ho3Re2Mo3N12",
  "functional": "PBE",
  "state": "relaxed",
  "rho_g_cm3": 8.75,
  "m_tot_mub_per_fu": 0.01,
  "cell": [[4.3763, -6.4825, 7.6334], [-10.7911, 0.7139, 1.5771], [1.9655, -4.1899, -9.9008]],
  "species": ["Ho", "Ho", "Ho", "Ho", "Ho", "Ho", "Ho", "Ho", "Ho", "Ho", "Ho", "Ho", "Mo", "Mo", "Mo", "Mo", "Mo", "Mo", "Mo", "Mo", "Mo", "Mo", "Mo", "Mo", "N", "N", "N", "N", "N", "N", "N", "N", "N", "N", "N", "N", "N", "N", "N", "N", "N", "N", "N", "N", "N", "N", "N", "N", "N", "N", "N", "N", "N", "N", "N", "N", "N", "N", "N", "N", "N", "N", "N", "N", "N", "N", "N", "N", "N", "N", "N", "N", "Re", "Re", "Re", "Re", "Re", "Re", "Re", "Re"],
  "frac_coords": [[0.3750, 0.7500, 0.1250], [0.2500, 0.3750, 0.1250], [0.3750, 0.1250, 0.2500], [0.8750, 0.6250, 0.2500], [0.7500, 0.1250, 0.3750], [0.1250, 0.2500, 0.3750], [0.8750, 0.7500, 0.6250], [0.2500, 0.8750, 0.6250], [0.1250, 0.3750, 0.7500], [0.6250, 0.8750, 0.7500], [0.6250, 0.2500, 0.8750], [0.7500, 0.6250, 0.8750], [0.8750, 0.2500, 0.1250], [0.7500, 0.8750, 0.1250], [0.6250, 0.3750, 0.2500], [0.1250, 0.8750, 0.2500], [0.2500, 0.6250, 0.3750], [0.6250, 0.7500, 0.3750], [0.3750, 0.2500, 0.6250], [0.7500, 0.3750, 0.6250], [0.8750, 0.1250, 0.7500], [0.3750, 0.6250, 0.7500], [0.2500, 0.1250, 0.8750], [0.1250, 0.7500, 0.8750], [0.3207, 0.9050, 0.0221], [0.2013, 0.1170, 0.0221], [0.8830, 0.4050, 0.0843], [0.7013, 0.6793, 0.0843], [0.6170, 0.4157, 0.0950], [0.9779, 0.6793, 0.0950], [0.5950, 0.9157, 0.1170], [0.0221, 0.2013, 0.1170], [0.2013, 0.5843, 0.1793], [0.4779, 0.5950, 0.1793], [0.5843, 0.1793, 0.2013], [0.1170, 0.0221, 0.2013], [0.3207, 0.9157, 0.2987], [0.4779, 0.3830, 0.2987], [0.9050, 0.0221, 0.3207], [0.9157, 0.2987, 0.3207], [0.2987, 0.4779, 0.3830], [0.5843, 0.9050, 0.3830], [0.8207, 0.5221, 0.4050], [0.0843, 0.8830, 0.4050], [0.0950, 0.6170, 0.4157], [0.8207, 0.7987, 0.4157], [0.5950, 0.1793, 0.4779], [0.3830, 0.2987, 0.4779], [0.6170, 0.7013, 0.5221], [0.4050, 0.8207, 0.5221], [0.1793, 0.2013, 0.5843], [0.9050, 0.3830, 0.5843], [0.9157, 0.1170, 0.5950], [0.1793, 0.4779, 0.5950], [0.4157, 0.0950, 0.6170], [0.7013, 0.5221, 0.6170], [0.0843, 0.7013, 0.6793], [0.0950, 0.9779, 0.6793], [0.5221, 0.6170, 0.7013], [0.6793, 0.0843, 0.7013], [0.8830, 0.9779, 0.7987], [0.4157, 0.8207, 0.7987], [0.5221, 0.4050, 0.8207], [0.7987, 0.4157, 0.8207], [0.4050, 0.0843, 0.8830], [0.9779, 0.7987, 0.8830], [0.0221, 0.3207, 0.9050], [0.3830, 0.5843, 0.9050], [0.1170, 0.5950, 0.9157], [0.2987, 0.3207, 0.9157], [0.6793, 0.0950, 0.9779], [0.7987, 0.8830, 0.9779], [0.0000, 0.0000, 0.0000], [0.5000, 0.0000, 0.0000], [0.0000, 0.5000, 0.0000], [0.5000, 0.5000, 0.0000], [0.0000, 0.0000, 0.5000], [0.5000, 0.0000, 0.5000], [0.0000, 0.5000, 0.5000], [0.5000, 0.5000, 0.5000]]
}

=====

[3]
{
  "formula": "HfNiPd",
  "functional": "PBE",
  "state": "relaxed",
  "rho_g_cm3": 10.26,
  "m_tot_mub_per_fu": 0.00,
  "formation_enthalpy_0k_ev_per_atom": -0.08,
  "cell": [[1.5487, 1.2155, 3.8050], [1.9548, 3.7906, 0.4053], [-1.8978, 3.1675, 2.1724]],
  "species": ["Hf", "Ni", "Pd"],
  "frac_coords": [[0.0000, 0.0000, 0.0000], [0.2500, 0.2500, 0.2500], [0.7500, 0.7500, 0.7500]]
}

=====

[4]
{
  "formula": "KLuFeS3",
  "functional": "PBE",
  "state": "relaxed",
  "relative_energy_ev_per_fu": 0.00,
  "rho_g_cm3": 4.10,
  "m_tot_mub_per_fu": 3.87,
  "cell": [[-6.2129, 1.2612, 5.7525], [1.1855, -3.1271, 1.9660], [7.7327, 4.6633, 2.7548]],
  "species": ["Fe", "Fe", "K", "K", "Lu", "Lu", "S", "S", "S", "S", "S", "S"],
  "frac_coords": [[0.9248, 0.7500, 0.4069], [0.0752, 0.2500, 0.5931], [0.2188, 0.2500, 0.2472], [0.7812, 0.7500, 0.7528], [0.6690, 0.2500, 0.1442], [0.3310, 0.7500, 0.8558], [0.4577, 0.7500, 0.1504], [0.8930, 0.7500, 0.1575], [0.7921, 0.2500, 0.4561], [0.2079, 0.7500, 0.5439], [0.1070, 0.2500, 0.8425], [0.5423, 0.2500, 0.8496]]
}

=====

[5]
{
  "formula": "MgScPdPt",
  "functional": "PBE",
  "state": "relaxed",
  "relative_energy_ev_per_fu": 0.06,
  "rho_g_cm3": 9.02,
  "m_tot_mub_per_fu": 0.01,
  "cell": [[-0.3209, 2.8235, 1.6858], [-2.7388, -1.1670, 1.4331], [3.4432, -2.3803, 4.6422]],
  "species": ["Mg", "Pd", "Pt", "Sc"],
  "frac_coords": [[0.0000, 0.0000, 0.5013], [0.5000, 0.5000, 0.2553], [0.5000, 0.5000, 0.7497], [0.0000, 0.0000, 0.9937]]
}

=====

[6]
{
  "formula": "Fe2SnGeP4",
  "functional": "PBE",
  "state": "relaxed",
  "rho_g_cm3": 4.63,
  "m_tot_mub_per_fu": 0.04,
  "cell": [[-2.7004, 2.7004, 5.2458], [2.7004, -2.7004, 5.2458], [2.7004, 2.7004, -5.2458]],
  "species": ["Fe", "Fe", "Ge", "P", "P", "P", "P", "Sn"],
  "frac_coords": [[0.5000, 0.5000, 0.0000], [0.7500, 0.2500, 0.5000], [0.0000, 0.0000, 0.0000], [0.6486, 0.1897, 0.0728], [0.8103, 0.8831, 0.4588], [0.4243, 0.3514, 0.5412], [0.1169, 0.5757, 0.9272], [0.2500, 0.7500, 0.5000]]
}

=====

[7]
{
  "formula": "FePtCl6",
  "functional": "PBE",
  "state": "relaxed",
  "relative_energy_ev_per_fu": 0.63,
  "rho_g_cm3": 4.54,
  "m_tot_mub_per_fu": 4.00,
  "cell": [[-0.1481, -6.1075, 2.0735], [0.1316, -5.1797, -3.8440], [4.9375, -4.1319, -0.4145]],
  "species": ["Cl", "Cl", "Cl", "Cl", "Cl", "Cl", "Fe", "Pt"],
  "frac_coords": [[0.7478, 0.4076, 0.0948], [0.5924, 0.9052, 0.2522], [0.0948, 0.7478, 0.4076], [0.9052, 0.2522, 0.5924], [0.4076, 0.0948, 0.7478], [0.2522, 0.5924, 0.9052], [0.0000, 0.0000, 0.0000], [0.5000, 0.5000, 0.5000]]
}

=====

[8]
{
  "formula": "K2Nb2Se5",
  "functional": "PBE",
  "state": "relaxed",
  "rho_g_cm3": 4.32,
  "m_tot_mub_per_fu": 0.00,
  "cell": [[-4.8338, -2.3614, -3.9073], [2.0194, -6.0465, -1.8896], [-4.3378, -1.7277, 11.5778]],
  "species": ["K", "K", "K", "K", "Nb", "Nb", "Nb", "Nb", "Se", "Se", "Se", "Se", "Se", "Se", "Se", "Se", "Se", "Se"],
  "frac_coords": [[0.4459, 0.1254, 0.1885], [0.8746, 0.5541, 0.3115], [0.1254, 0.4459, 0.6885], [0.5541, 0.8746, 0.8115], [0.0720, 0.7073, 0.0454], [0.2927, 0.9280, 0.4546], [0.7073, 0.0720, 0.5454], [0.9280, 0.2927, 0.9546], [0.7115, 0.6536, 0.0350], [0.9203, 0.1379, 0.1174], [0.2927, 0.7073, 0.2500], [0.8621, 0.0797, 0.3826], [0.3464, 0.2885, 0.4650], [0.6536, 0.7115, 0.5350], [0.1379, 0.9203, 0.6174], [0.7073, 0.2927, 0.7500], [0.0797, 0.8621, 0.8826], [0.2885, 0.3464, 0.9650]]
}

=====

[9]
{
  "formula": "PmSnPO",
  "functional": "PBE",
  "state": "relaxed",
  "relative_energy_ev_per_fu": 0.94,
  "rho_g_cm3": 6.21,
  "m_tot_mub_per_fu": 0.00,
  "cell": [[-3.8485, -2.2832, 3.5241], [3.5799, 0.7146, 4.3723], [-1.9727, 4.6461, 0.8558]],
  "species": ["O", "O", "P", "P", "Pm", "Pm", "Sn", "Sn"],
  "frac_coords": [[0.0000, 0.0000, 0.0000], [0.5000, 0.5000, 0.0000], [0.5000, 0.0000, 0.4866], [0.0000, 0.5000, 0.5134], [0.0000, 0.0000, 0.5000], [0.5000, 0.5000, 0.5000], [0.0000, 0.5000, 0.0108], [0.5000, 0.0000, 0.9892]]
}

=====

[10]
{
  "formula": "Nb2HgAs",
  "functional": "PBE",
  "state": "relaxed",
  "rho_g_cm3": 10.05,
  "m_tot_mub_per_fu": 0.01,
  "cell": [[0.0000, 3.3654, 3.3654], [3.3654, 0.0000, 3.3654], [3.3654, 3.3654, 0.0000]],
  "species": ["As", "Hg", "Nb", "Nb"],
  "frac_coords": [[0.5000, 0.5000, 0.5000], [0.2500, 0.2500, 0.2500], [0.0000, 0.0000, 0.0000], [0.7500, 0.7500, 0.7500]]
}

=====

[11]
{
  "formula": "ZrSc2Al",
  "functional": "PBE",
  "state": "relaxed",
  "rho_g_cm3": 4.09,
  "m_tot_mub_per_fu": 0.01,
  "cell": [[0.0000, 3.4821, 3.4821], [3.4821, 0.0000, 3.4821], [3.4821, 3.4821, 0.0000]],
  "species": ["Al", "Sc", "Sc", "Zr"],
  "frac_coords": [[0.5000, 0.5000, 0.5000], [0.0000, 0.0000, 0.0000], [0.7500, 0.7500, 0.7500], [0.2500, 0.2500, 0.2500]]
}

=====

[12]
{
  "formula": "BaCu2Au",
  "functional": "PBE",
  "state": "relaxed",
  "rho_g_cm3": 8.25,
  "cell": [[0.0000, 3.5940, 3.5940], [3.5940, 0.0000, 3.5940], [3.5940, 3.5940, 0.0000]],
  "species": ["Au", "Ba", "Cu", "Cu"],
  "frac_coords": [[0.5000, 0.5000, 0.5000], [0.7500, 0.7500, 0.7500], [0.0000, 0.0000, 0.0000], [0.2500, 0.2500, 0.2500]]
}

=====

[13]
{
  "formula": "TmHgS2",
  "functional": "PBE",
  "state": "relaxed",
  "rho_g_cm3": 5.86,
  "m_tot_mub_per_fu": 0.04,
  "cell": [[4.4135, 0.0000, 0.0000], [-2.2067, 3.8222, 0.0000], [0.0000, 0.0000, 7.2832]],
  "species": ["Hg", "S", "S", "Tm"],
  "frac_coords": [[0.0000, 0.0000, 0.4807], [0.6667, 0.3333, 0.3515], [0.0000, 0.0000, 0.9087], [0.6667, 0.3333, 0.0091]]
}

=====

[14]
{
  "formula": "RbGdCu",
  "functional": "PBE",
  "state": "relaxed",
  "rho_g_cm3": 5.08,
  "m_tot_mub_per_fu": 0.03,
  "cell": [[0.0000, 3.6847, 3.6847], [3.6847, 0.0000, 3.6847], [3.6847, 3.6847, 0.0000]],
  "species": ["Cu", "Gd", "Rb"],
  "frac_coords": [[0.0000, 0.0000, 0.0000], [0.2500, 0.2500, 0.2500], [0.7500, 0.7500, 0.7500]]
}

=====

[15]
{
  "formula": "TmMg2",
  "functional": "PBE",
  "state": "relaxed",
  "rho_g_cm3": 4.72,
  "m_tot_mub_per_fu": 0.01,
  "cell": [[17.0204, 0.0000, 0.0000], [0.0000, 3.3196, 0.0000], [0.0000, 0.0000, 5.4200]],
  "species": ["Mg", "Mg", "Mg", "Mg", "Mg", "Mg", "Mg", "Mg", "Tm", "Tm", "Tm", "Tm"],
  "frac_coords": [[0.0015, 0.0000, 0.0000], [0.6632, 0.0000, 0.0000], [0.1632, 0.5000, 0.0000], [0.5015, 0.5000, 0.0000], [0.4429, 0.0000, 0.5000], [0.7813, 0.0000, 0.5000], [0.2812, 0.5000, 0.5000], [0.9429, 0.5000, 0.5000], [0.3297, 0.0000, 0.0000], [0.8297, 0.5000, 0.0000], [0.1147, 0.0000, 0.5000], [0.6147, 0.5000, 0.5000]]
}

=====

[16]
{
  "formula": "NdDy2In",
  "functional": "PBE",
  "state": "relaxed",
  "rho_g_cm3": 8.32,
  "m_tot_mub_per_fu": 0.07,
  "cell": [[4.9020, 0.0000, 0.0000], [0.0000, 4.9020, 0.0000], [0.0000, 0.0000, 4.8503]],
  "species": ["Dy", "Dy", "In", "Nd"],
  "frac_coords": [[0.5000, 0.0000, 0.5000], [0.0000, 0.5000, 0.5000], [0.0000, 0.0000, 0.0000], [0.5000, 0.5000, 0.0000]]
}

=====

[17]
{
  "formula": "Nb2Os",
  "functional": "PBE",
  "state": "relaxed",
  "rho_g_cm3": 12.12,
  "m_tot_mub_per_fu": 0.11,
  "formation_enthalpy_0k_ev_per_atom": 0.47,
  "cell": [[0.0000, 3.7206, 3.7206], [3.7206, 0.0000, 3.7206], [3.7206, 3.7206, 0.0000]],
  "species": ["Nb", "Nb", "Nb", "Nb", "Os", "Os"],
  "frac_coords": [[0.6250, 0.6250, 0.1250], [0.6250, 0.1250, 0.6250], [0.1250, 0.6250, 0.6250], [0.6250, 0.6250, 0.6250], [0.0000, 0.0000, 0.0000], [0.2500, 0.2500, 0.2500]]
}

=====

[18]
{
  "formula": "Nd3P2N",
  "functional": "PBE",
  "state": "relaxed",
  "rho_g_cm3": 6.27,
  "m_tot_mub_per_fu": 0.00,
  "cell": [[3.9596, 0.0000, 0.0000], [-1.9798, 3.4291, 0.0000], [0.0000, 0.0000, 9.9159]],
  "species": ["N", "Nd", "Nd", "Nd", "P", "P"],
  "frac_coords": [[0.0000, 0.0000, 0.5000], [0.0000, 0.0000, 0.0000], [0.3333, 0.6667, 0.3578], [0.6667, 0.3333, 0.6422], [0.6667, 0.3333, 0.1781], [0.3333, 0.6667, 0.8219]]
}

=====

[19]
{
  "formula": "CuHPd3",
  "functional": "PBE",
  "state": "relaxed",
  "rho_g_cm3": 10.37,
  "cell": [[-0.2383, -3.5078, -1.7936], [-0.0689, -1.7929, 3.5155], [-3.9391, 0.2435, 0.0470]],
  "species": ["Cu", "H", "Pd", "Pd", "Pd"],
  "frac_coords": [[0.0000, 0.0000, 0.0000], [0.5000, 0.5000, 0.5000], [0.5000, 0.5000, 0.0000], [0.5000, 0.0000, 0.5000], [0.0000, 0.5000, 0.5000]]
}

=====

[20]
{
  "formula": "HfNbIn2",
  "functional": "PBE",
  "state": "relaxed",
  "rho_g_cm3": 9.85,
  "m_tot_mub_per_fu": 0.16,
  "cell": [[0.0000, 3.4822, 3.4822], [3.4822, 0.0000, 3.4822], [3.4822, 3.4822, 0.0000]],
  "species": ["Hf", "In", "In", "Nb"],
  "frac_coords": [[0.2500, 0.2500, 0.2500], [0.0000, 0.0000, 0.0000], [0.7500, 0.7500, 0.7500], [0.5000, 0.5000, 0.5000]]
}

=====

[21]
{
  "formula": "Cu7Ag3",
  "functional": "PBE",
  "state": "relaxed",
  "relative_energy_ev_per_fu": 0.62,
  "rho_g_cm3": 9.24,
  "formation_enthalpy_0k_ev_per_atom": 0.11,
  "cell": [[-3.1400, -9.2236, 19.0093], [-2.4128, -6.8218, 20.0979], [-5.0262, -7.2897, 19.4392]],
  "species": ["Ag", "Ag", "Ag", "Cu", "Cu", "Cu", "Cu", "Cu", "Cu", "Cu"],
  "frac_coords": [[0.1008, 0.1008, 0.1008], [0.2015, 0.2015, 0.2015], [0.6977, 0.6977, 0.6977], [0.2984, 0.2984, 0.2984], [0.3993, 0.3993, 0.3993], [0.4995, 0.4995, 0.4995], [0.6010, 0.6010, 0.6010], [0.8025, 0.8025, 0.8025], [0.9036, 0.9036, 0.9036], [0.9958, 0.9958, 0.9958]]
}

=====

[22]
{
  "formula": "SrLuIr",
  "functional": "PBE",
  "state": "relaxed",
  "relative_energy_ev_per_fu": 0.00,
  "rho_g_cm3": 9.08,
  "m_tot_mub_per_fu": 0.00,
  "cell": [[0.0000, 3.4644, 3.4644], [3.4644, 0.0000, 3.4644], [3.4644, 3.4644, 0.0000]],
  "species": ["Ir", "Lu", "Sr"],
  "frac_coords": [[0.0000, 0.0000, 0.0000], [0.2500, 0.2500, 0.2500], [0.7500, 0.7500, 0.7500]]
}

=====

Across the entries above, uncorrected energy takes the values -288.82 -731.89 -20.95 -68.77 -22.99 -47.07 -29.31 -96.03 -47.31 -23.10 -25.45 -12.07 -16.54 -7.24 -30.25 -17.78 -59.98 -41.66 -23.06 -24.13 -33.43 -16.13 eV per cell, respectively.